Entry from Alexandria via LeMat-Bulk: TbCe5Sn4 after structural relaxation (PBE-GGA).

As for the raw total energy: -5.470 eV/atom. The total moment comes out at 9.8 Bohr magnetons per cell. The formation energy from the elements comes out at -42.4 kJ/mol of atoms.

It has space group Pmmn (No. 59, origin choice 2), with a = 10.988 Å, b = 12.004 Å, c = 4.612 Å, α = 90.00°, β = 90.00° and γ = 90.00°. The inequivalent atoms are Tb at (0.250, 0.250, 0.222), Ce at (0.061, 0.067, 0.713), Ce at (0.250, 0.750, 0.292), Sn at (0.037, 0.750, 0.786) and Sn at (0.250, 0.000, 0.215).